Compound: Cr2HF
Source: the Alexandria database
Functional: PBE with a Hubbard U
Structure: optimized geometry

abc: 5.910 5.910 5.910
angles: 90.00 90.00 90.00
Space group Fm-3m (No. 225)
Unique sites:
Cr 0.250 0.250 0.250
H 0.000 0.000 0.000
F 0.000 0.000 0.500

Results
Its density of states at the Fermi level is 2.03 states/eV per cell. As for the total energy: -5.22 eV per atom. The mass density comes out at 3.99 g cm⁻³.